Below is Sm2Er2Pt15 after structural relaxation, with properties calculated at the PBE level.

Cell and atoms, written as POSCAR:
```
Sm2Er2Pt15
1.0
-2.150 -4.960 -4.597
6.307 -3.049 -1.133
-0.682 -5.346 4.616
Sm Er Pt
2 2 15
Direct
0.359 0.359 0.359
0.641 0.641 0.641
0.107 0.107 0.107
0.893 0.893 0.893
0.500 0.000 0.000
0.000 0.000 0.500
0.000 0.500 0.000
0.000 0.689 0.311
0.689 0.311 0.000
0.311 0.000 0.689
0.311 0.689 0.000
0.689 0.000 0.311
0.000 0.311 0.689
0.160 0.653 0.653
0.653 0.653 0.160
0.653 0.160 0.653
0.840 0.347 0.347
0.347 0.347 0.840
0.347 0.840 0.347
```

Computed properties:
space group: No. 166
energy relative to the elements: -70.8 kJ/mol of atoms

Below is Si2TeP after structural relaxation, with properties calculated at the PBE level.

Cell and atoms, written as POSCAR:
```
Si2TeP
1.0
-3.430 -0.472 0.951
-0.966 -1.630 -4.292
0.735 -5.362 -0.012
P Si Te
1 2 1
Direct
0.500 0.752 0.863
0.000 0.013 0.964
0.500 0.291 0.186
0.000 0.443 0.486
```

Computed properties:
space group: No. 6
excess energy over the best structure of this formula in the dataset: 0.003 eV per atom
energy relative to the elements, uncorrected: 0.7 eV/f.u.

Below is Y2Mg2Sc after structural relaxation, with properties calculated at the PBE level.

Cell and atoms, written as POSCAR:
```
Y2Mg2Sc
1.0
8.780 0.000 0.000
0.000 8.780 0.000
0.000 0.000 3.581
Y Sc Mg
4 2 4
Direct
0.361 0.861 0.000
0.861 0.639 0.000
0.639 0.139 0.000
0.139 0.361 0.000
0.000 0.000 0.000
0.500 0.500 0.000
0.160 0.660 0.500
0.660 0.840 0.500
0.840 0.340 0.500
0.340 0.160 0.500
```

Computed properties:
space group: No. 127
energy relative to the elements: 14.1 kJ/mol of atoms
excess energy over the best structure of this formula in the dataset: 0.106 eV per atom

Below is Re2PtAu after structural relaxation, with properties calculated at the PBE level.

Cell and atoms, written as POSCAR:
```
Re2PtAu
1.0
3.401 0.000 0.000
0.000 3.401 0.000
0.000 0.000 5.553
Au Pt Re
1 1 2
Direct
0.500 0.500 0.250
0.500 0.500 0.750
0.000 0.000 0.981
0.000 0.000 0.519
```

Computed properties:
space group: No. 123
energy relative to the elements: 55.7 kJ/mol of atoms
excess energy over the best structure of this formula in the dataset: 0.505 eV per atom

Below is CdGaIrC2 after structural relaxation, with properties calculated at the PBE level.

Cell and atoms, written as POSCAR:
```
CdGaIrC2
1.0
-2.264 1.997 -2.742
-0.232 -4.367 -2.990
-3.387 -1.158 1.953
C Ir Ga Cd
2 1 1 1
Direct
0.000 0.000 0.500
0.500 0.000 0.000
0.000 0.500 0.000
0.500 0.500 0.500
0.000 0.000 0.000
```

Computed properties:
space group: No. 123
energy relative to the elements: 256.3 kJ/mol of atoms

Below is Sc2In2Ir after structural relaxation, with properties calculated at the PBE level.

Cell and atoms, written as POSCAR:
```
Sc2In2Ir
1.0
7.136 0.000 0.000
0.000 7.136 0.000
0.000 0.000 4.125
Sc Ir In
4 2 4
Direct
0.169 0.669 0.500
0.669 0.831 0.500
0.831 0.331 0.500
0.331 0.169 0.500
0.000 0.000 0.000
0.500 0.500 0.000
0.361 0.861 0.000
0.861 0.639 0.000
0.639 0.139 0.000
0.139 0.361 0.000
```

Computed properties:
space group: No. 127
energy relative to the elements: -29.8 kJ/mol of atoms
excess energy over the best structure of this formula in the dataset: 0.223 eV per atom

Below is LaAl2Ag after structural relaxation, with properties calculated at the PBE level.

Cell and atoms, written as POSCAR:
```
LaAl2Ag
1.0
4.865 0.000 0.000
0.000 4.865 0.000
2.432 2.432 8.954
Al Ag La
4 2 2
Direct
0.451 0.125 0.250
0.299 0.625 0.250
0.375 0.549 0.750
0.875 0.701 0.750
0.500 0.500 0.000
0.250 0.750 0.500
0.000 0.000 0.000
0.750 0.250 0.500
```

Computed properties:
space group: No. 122
energy relative to the elements: -7.4 kJ/mol of atoms
excess energy over the best structure of this formula in the dataset: 0.316 eV per atom

Below is Tb6TeC2 after structural relaxation, with properties calculated at the PBE level.

Cell and atoms, written as POSCAR:
```
Tb6TeC2
1.0
6.794 -0.298 -0.289
1.571 8.436 1.615
1.571 1.887 8.379
Tb Te C
12 2 4
Direct
0.594 0.664 0.603
0.906 0.397 0.336
0.406 0.336 0.397
0.094 0.603 0.664
0.824 0.029 0.372
0.676 0.628 0.971
0.176 0.971 0.628
0.324 0.372 0.029
0.166 0.749 0.028
0.334 0.972 0.251
0.834 0.251 0.972
0.666 0.028 0.749
0.250 0.179 0.821
0.750 0.821 0.179
0.349 0.662 0.824
0.151 0.176 0.338
0.651 0.338 0.176
0.849 0.824 0.662
```

Computed properties:
space group: No. 15
energy relative to the elements, uncorrected: -2.3 eV/f.u.